# 1
SnP | PBE | optimized geometry

Computed properties:
For the energy relative to the elements, the calculation gives -0.0009 eV/atom. Its crystal system is tetragonal. Its density of states at the Fermi level is 1.410 states/eV per cell.

CIF file:
```
data_SnP
_cell_length_a 4.9771
_cell_length_b 4.9771
_cell_length_c 4.9771
_cell_angle_alpha 111.50
_cell_angle_beta 111.50
_cell_angle_gamma 105.48
_symmetry_space_group_name_H-M 'P 1'
_symmetry_Int_Tables_number 1
loop_
_symmetry_equiv_pos_as_xyz
'x,y,z'
loop_
_atom_site_label
_atom_site_type_symbol
_atom_site_fract_x
_atom_site_fract_y
_atom_site_fract_z
Sn1 Sn 0.2500 0.7500 0.5000
Sn2 Sn 0.7500 0.2500 0.5000
P1 P 0.1791 0.1791 0.0000
P2 P 0.8209 0.8209 0.0000
```



# 2
YFe4Au | PBE | optimized geometry

Computed properties:
For the energy relative to the elements, the calculation gives -0.0806 eV/atom. Its crystal system is cubic. Its density of states at the Fermi level is 6.109 states/eV per cell.

CIF file:
```
data_YFe4Au
_cell_length_a 5.0396
_cell_length_b 5.0396
_cell_length_c 5.0396
_cell_angle_alpha 60.00
_cell_angle_beta 60.00
_cell_angle_gamma 60.00
_symmetry_space_group_name_H-M 'P 1'
_symmetry_Int_Tables_number 1
loop_
_symmetry_equiv_pos_as_xyz
'x,y,z'
loop_
_atom_site_label
_atom_site_type_symbol
_atom_site_fract_x
_atom_site_fract_y
_atom_site_fract_z
Y1 Y 0.0000 0.0000 0.0000
Fe1 Fe 0.3747 0.3747 0.3747
Fe2 Fe 0.3747 0.3747 0.8759
Fe3 Fe 0.3747 0.8759 0.3747
Fe4 Fe 0.8759 0.3747 0.3747
Au1 Au 0.7500 0.7500 0.7500
```



# 3
KNbSb2O8 | PBE | optimized geometry

Computed properties:
Its raw formation energy is -1624 meV/atom. Its crystal system is monoclinic.

CIF file:
```
data_KNbSb2O8
_cell_length_a 4.9746
_cell_length_b 6.5048
_cell_length_c 4.9830
_cell_angle_alpha 90.00
_cell_angle_beta 93.68
_cell_angle_gamma 90.00
_symmetry_space_group_name_H-M 'P 1'
_symmetry_Int_Tables_number 1
loop_
_symmetry_equiv_pos_as_xyz
'x,y,z'
loop_
_atom_site_label
_atom_site_type_symbol
_atom_site_fract_x
_atom_site_fract_y
_atom_site_fract_z
K1 K 0.0000 0.0000 0.0000
Nb1 Nb 0.0000 0.5000 0.0000
Sb1 Sb 0.5000 0.2494 0.5000
Sb2 Sb 0.5000 0.7506 0.5000
O1 O 0.2126 0.2954 0.2110
O2 O 0.2126 0.7046 0.2110
O3 O 0.3052 0.5000 0.6932
O4 O 0.3294 0.0000 0.6677
O5 O 0.6706 0.0000 0.3323
O6 O 0.6948 0.5000 0.3068
O7 O 0.7874 0.2954 0.7890
O8 O 0.7874 0.7046 0.7890
```



# 4
Ge2Sb2I | PBE | optimized geometry

Computed properties:
Its polymorph energy (0 for the lowest one) is 0.000 eV per atom. Its raw formation energy is 65 meV/atom. Its crystal system is tetragonal. Its density of states at the Fermi level is 1.276 states/eV per cell.

CIF file:
```
data_Ge2Sb2I
_cell_length_a 8.1138
_cell_length_b 8.1138
_cell_length_c 8.1138
_cell_angle_alpha 148.28
_cell_angle_beta 148.28
_cell_angle_gamma 45.47
_symmetry_space_group_name_H-M 'P 1'
_symmetry_Int_Tables_number 1
loop_
_symmetry_equiv_pos_as_xyz
'x,y,z'
loop_
_atom_site_label
_atom_site_type_symbol
_atom_site_fract_x
_atom_site_fract_y
_atom_site_fract_z
Ge1 Ge 0.2500 0.7500 0.5000
Ge2 Ge 0.7500 0.2500 0.5000
Sb1 Sb 0.1309 0.1309 0.0000
Sb2 Sb 0.8691 0.8691 0.0000
I1 I 0.5000 0.5000 0.0000
```



# 5
TbPr3Nd3S8 | PBE | optimized geometry

Computed properties:
Its raw formation energy is -2048 meV/atom. Its crystal system is trigonal. Its density of states at the Fermi level is 7.146 states/eV per cell.

CIF file:
```
data_TbPr3Nd3S8
_cell_length_a 8.1506
_cell_length_b 8.1506
_cell_length_c 8.1506
_cell_angle_alpha 59.87
_cell_angle_beta 59.87
_cell_angle_gamma 59.87
_symmetry_space_group_name_H-M 'P 1'
_symmetry_Int_Tables_number 1
loop_
_symmetry_equiv_pos_as_xyz
'x,y,z'
loop_
_atom_site_label
_atom_site_type_symbol
_atom_site_fract_x
_atom_site_fract_y
_atom_site_fract_z
Tb1 Tb 0.0000 0.0000 0.0000
Pr1 Pr 0.0000 0.0000 0.5000
Pr2 Pr 0.0000 0.5000 0.0000
Pr3 Pr 0.5000 0.0000 0.0000
Nd1 Nd 0.0000 0.5000 0.5000
Nd2 Nd 0.5000 0.0000 0.5000
Nd3 Nd 0.5000 0.5000 0.0000
S1 S 0.2427 0.2427 0.7554
S2 S 0.2427 0.7554 0.2427
S3 S 0.2446 0.7573 0.7573
S4 S 0.2510 0.2510 0.2510
S5 S 0.7490 0.7490 0.7490
S6 S 0.7554 0.2427 0.2427
S7 S 0.7573 0.2446 0.7573
S8 S 0.7573 0.7573 0.2446
```



# 6
LaSeN2 | PBE | optimized geometry

Computed properties:
Its polymorph energy (0 for the lowest one) is 0.919 eV per atom. Its raw formation energy is 873 meV/atom. Its crystal system is trigonal. Its density of states at the Fermi level is 3.252 states/eV per cell.

CIF file:
```
data_LaSeN2
_cell_length_a 7.1850
_cell_length_b 7.1850
_cell_length_c 7.1850
_cell_angle_alpha 26.58
_cell_angle_beta 26.58
_cell_angle_gamma 26.58
_symmetry_space_group_name_H-M 'P 1'
_symmetry_Int_Tables_number 1
loop_
_symmetry_equiv_pos_as_xyz
'x,y,z'
loop_
_atom_site_label
_atom_site_type_symbol
_atom_site_fract_x
_atom_site_fract_y
_atom_site_fract_z
La1 La 0.0000 0.0000 0.0000
Se1 Se 0.5000 0.5000 0.5000
N1 N 0.1129 0.1129 0.1129
N2 N 0.8871 0.8871 0.8871
```



# 7
Mg2ZrSnH | PBE | optimized geometry

Computed properties:
Its crystal system is tetragonal. Its density of states at the Fermi level is 2.514 states/eV per cell. For the total energy, the calculation gives -4.044 eV/atom.

CIF file:
```
data_Mg2ZrSnH
_cell_length_a 4.4633
_cell_length_b 4.4633
_cell_length_c 4.3081
_cell_angle_alpha 90.00
_cell_angle_beta 90.00
_cell_angle_gamma 90.00
_symmetry_space_group_name_H-M 'P 1'
_symmetry_Int_Tables_number 1
loop_
_symmetry_equiv_pos_as_xyz
'x,y,z'
loop_
_atom_site_label
_atom_site_type_symbol
_atom_site_fract_x
_atom_site_fract_y
_atom_site_fract_z
Mg1 Mg 0.0000 0.5000 0.0000
Mg2 Mg 0.5000 0.0000 0.0000
Zr1 Zr 0.0000 0.0000 0.5000
Sn1 Sn 0.5000 0.5000 0.5000
H1 H 0.0000 0.0000 0.0000
```



# 8
HfTc2OsC | PBE | optimized geometry

Computed properties:
For the energy relative to the elements, the calculation gives -0.2020 eV/atom. Its crystal system is tetragonal. Its density of states at the Fermi level is 5.077 states/eV per cell.

CIF file:
```
data_HfTc2OsC
_cell_length_a 4.1413
_cell_length_b 4.1413
_cell_length_c 4.1021
_cell_angle_alpha 90.00
_cell_angle_beta 90.00
_cell_angle_gamma 90.00
_symmetry_space_group_name_H-M 'P 1'
_symmetry_Int_Tables_number 1
loop_
_symmetry_equiv_pos_as_xyz
'x,y,z'
loop_
_atom_site_label
_atom_site_type_symbol
_atom_site_fract_x
_atom_site_fract_y
_atom_site_fract_z
Hf1 Hf 0.0000 0.0000 0.0000
Tc1 Tc 0.0000 0.5000 0.5000
Tc2 Tc 0.5000 0.0000 0.5000
Os1 Os 0.5000 0.5000 0.0000
C1 C 0.5000 0.5000 0.5000
```



Table of V (Å³ per atom), in record order: 23.64, 15.08, 13.41, 29.43, 25.45, 16.37, 17.16, 14.07